The following is a PBE calculation of a relaxed Y3Mg crystal, from the Alexandria database.

a = 6.745 Å, b = 10.680 Å, c = 6.741 Å
α = 90.00°, β = 90.00°, γ = 90.00°
Atoms (fractional coordinates):
1 Y 0.009 0.250 0.031
2 Y 0.197 0.509 0.304
3 Y 0.197 0.991 0.304
4 Y 0.303 0.009 0.804
5 Y 0.303 0.491 0.804
6 Y 0.491 0.750 0.531
7 Y 0.509 0.250 0.469
8 Y 0.697 0.509 0.196
9 Y 0.697 0.991 0.196
10 Y 0.803 0.009 0.696
11 Y 0.803 0.491 0.696
12 Y 0.991 0.750 0.969
13 Mg 0.023 0.250 0.521
14 Mg 0.477 0.750 0.021
15 Mg 0.523 0.250 0.979
16 Mg 0.977 0.750 0.479

## Properties
Density   3.98 g cm⁻³
Symmetry   No. 62
ΔE_f   0.02 eV per atom
Magnetic moment   0.00 Bohr magnetons per cell

***

The following is a PBE calculation of a relaxed YMg crystal, from the Alexandria database.

a = 5.328 Å, b = 3.864 Å, c = 16.358 Å
α = 90.00°, β = 90.00°, γ = 90.00°
Atoms (fractional coordinates):
1 Y 0.000 0.000 0.000
2 Y 0.000 0.000 0.317
3 Y 0.000 0.500 0.500
4 Y 0.000 0.500 0.817
5 Y 0.500 0.000 0.858
6 Y 0.500 0.500 0.358
7 Mg 0.000 0.000 0.659
8 Mg 0.000 0.500 0.159
9 Mg 0.500 0.000 0.179
10 Mg 0.500 0.000 0.523
11 Mg 0.500 0.500 0.023
12 Mg 0.500 0.500 0.679

## Properties
Density   3.35 g cm⁻³
Symmetry   No. 38
ΔE_f   -0.02 eV per atom
Magnetic moment   0.00 Bohr magnetons per cell

***

The following is a PBE calculation of a relaxed YMg crystal, from the Alexandria database.

a = 5.451 Å, b = 5.451 Å, c = 6.217 Å
α = 90.00°, β = 90.00°, γ = 120.00°
Atoms (fractional coordinates):
1 Y 0.333 0.667 0.250
2 Y 0.667 0.333 0.750
3 Mg 0.333 0.667 0.750
4 Mg 0.667 0.333 0.250

## Properties
Density   2.35 g cm⁻³
Symmetry   No. 194
ΔE_f   0.87 eV per atom
Magnetic moment   1.92 Bohr magnetons per cell

***

The following is a PBE calculation of a relaxed YMg crystal, from the Alexandria database.

a = 3.533 Å, b = 3.533 Å, c = 16.085 Å
α = 90.00°, β = 90.00°, γ = 120.00°
Atoms (fractional coordinates):
1 Y 0.000 0.000 0.000
2 Y 0.333 0.667 0.667
3 Y 0.667 0.333 0.333
4 Mg 0.000 0.000 0.500
5 Mg 0.333 0.667 0.167
6 Mg 0.667 0.333 0.833

## Properties
Density   3.24 g cm⁻³
Symmetry   No. 166
ΔE_f   0.01 eV per atom
Magnetic moment   0.00 Bohr magnetons per cell

***

The following is a PBE calculation of a relaxed Y3Mg4 crystal, from the Alexandria database.

a = 3.426 Å, b = 3.426 Å, c = 32.394 Å
α = 90.00°, β = 90.00°, γ = 90.00°
Atoms (fractional coordinates):
1 Y 0.000 0.000 0.000
2 Y 0.000 0.000 0.291
3 Y 0.000 0.000 0.709
4 Y 0.500 0.500 0.209
5 Y 0.500 0.500 0.500
6 Y 0.500 0.500 0.791
7 Mg 0.000 0.000 0.135
8 Mg 0.000 0.000 0.428
9 Mg 0.000 0.000 0.572
10 Mg 0.000 0.000 0.865
11 Mg 0.500 0.500 0.072
12 Mg 0.500 0.500 0.365
13 Mg 0.500 0.500 0.635
14 Mg 0.500 0.500 0.928

## Properties
Density   3.18 g cm⁻³
Symmetry   No. 139
ΔE_f   -0.06 eV per atom
Magnetic moment   0.05 Bohr magnetons per cell

***

The following is a PBE calculation of a relaxed YMg crystal, from the Alexandria database.

a = 3.436 Å, b = 3.436 Å, c = 11.184 Å
α = 90.00°, β = 90.00°, γ = 120.00°
Atoms (fractional coordinates):
1 Y 0.000 0.000 0.000
2 Y 0.000 0.000 0.500
3 Mg 0.333 0.667 0.250
4 Mg 0.667 0.333 0.750

## Properties
Density   3.29 g cm⁻³
Symmetry   No. 194
ΔE_f   0.08 eV per atom
Magnetic moment   0.00 Bohr magnetons per cell

***

The following is a PBE calculation of a relaxed Y3Mg crystal, from the Alexandria database.

a = 7.046 Å, b = 7.046 Å, c = 5.614 Å
α = 90.00°, β = 90.00°, γ = 120.00°
Atoms (fractional coordinates):
1 Y 0.170 0.340 0.250
2 Y 0.170 0.830 0.250
3 Y 0.340 0.170 0.750
4 Y 0.660 0.830 0.250
5 Y 0.830 0.170 0.750
6 Y 0.830 0.660 0.750
7 Mg 0.333 0.667 0.750
8 Mg 0.667 0.333 0.250

## Properties
Density   4.00 g cm⁻³
Symmetry   No. 194
ΔE_f   0.00 eV per atom
Magnetic moment   0.63 Bohr magnetons per cell

***

The following is a PBE calculation of a relaxed YMg crystal, from the Alexandria database.

a = 6.168 Å, b = 6.168 Å, c = 6.270 Å
α = 90.00°, β = 90.00°, γ = 90.00°
Atoms (fractional coordinates):
1 Y 0.196 0.196 0.000
2 Y 0.304 0.696 0.500
3 Y 0.696 0.304 0.500
4 Y 0.804 0.804 0.000
5 Mg 0.186 0.186 0.500
6 Mg 0.314 0.686 0.000
7 Mg 0.686 0.314 0.000
8 Mg 0.814 0.814 0.500

## Properties
Density   3.15 g cm⁻³
Symmetry   No. 136
ΔE_f   0.28 eV per atom
Magnetic moment   0.00 Bohr magnetons per cell

***

The following is a PBE calculation of a relaxed YMg11 crystal, from the Alexandria database.

a = 9.435 Å, b = 9.435 Å, c = 9.435 Å
α = 100.03°, β = 100.03°, γ = 130.66°
Atoms (fractional coordinates):
1 Y 0.375 0.625 0.750
2 Y 0.625 0.375 0.250
3 Mg 0.000 0.000 0.000
4 Mg 0.000 0.000 0.500
5 Mg 0.000 0.500 0.000
6 Mg 0.125 0.875 0.250
7 Mg 0.129 0.553 0.333
8 Mg 0.129 0.796 0.576
9 Mg 0.204 0.280 0.333
10 Mg 0.204 0.871 0.924
11 Mg 0.280 0.204 0.833
12 Mg 0.280 0.447 0.076
13 Mg 0.447 0.280 0.576
14 Mg 0.447 0.871 0.167
15 Mg 0.500 0.000 0.500
16 Mg 0.553 0.129 0.833
17 Mg 0.553 0.720 0.424
18 Mg 0.720 0.553 0.924
19 Mg 0.720 0.796 0.167
20 Mg 0.796 0.129 0.076
21 Mg 0.796 0.720 0.667
22 Mg 0.871 0.204 0.424
23 Mg 0.871 0.447 0.667
24 Mg 0.875 0.125 0.750

## Properties
Density   2.04 g cm⁻³
Symmetry   No. 141
ΔE_f   0.03 eV per atom
Magnetic moment   0.00 Bohr magnetons per cell

***

The following is a PBE calculation of a relaxed Y3Mg crystal, from the Alexandria database.

a = 7.826 Å, b = 7.826 Å, c = 7.826 Å
α = 90.00°, β = 90.00°, γ = 90.00°
Atoms (fractional coordinates):
1 Y 0.000 0.000 0.000
2 Y 0.000 0.500 0.500
3 Y 0.250 0.250 0.250
4 Y 0.250 0.250 0.750
5 Y 0.250 0.750 0.250
6 Y 0.250 0.750 0.750
7 Y 0.500 0.000 0.500
8 Y 0.500 0.500 0.000
9 Y 0.750 0.250 0.250
10 Y 0.750 0.250 0.750
11 Y 0.750 0.750 0.250
12 Y 0.750 0.750 0.750
13 Mg 0.000 0.000 0.500
14 Mg 0.000 0.500 0.000
15 Mg 0.500 0.000 0.000
16 Mg 0.500 0.500 0.500

## Properties
Density   4.03 g cm⁻³
Symmetry   No. 225
ΔE_f   0.06 eV per atom
Magnetic moment   0.00 Bohr magnetons per cell

***

The following is a PBE calculation of a relaxed Y7Mg3 crystal, from the Alexandria database.

a = 10.071 Å, b = 10.071 Å, c = 7.058 Å
α = 90.00°, β = 90.00°, γ = 120.00°
Atoms (fractional coordinates):
1 Y 0.064 0.532 0.000
2 Y 0.123 0.247 0.744
3 Y 0.123 0.877 0.744
4 Y 0.247 0.123 0.244
5 Y 0.333 0.667 0.647
6 Y 0.468 0.532 0.000
7 Y 0.468 0.936 0.000
8 Y 0.532 0.064 0.500
9 Y 0.532 0.468 0.500
10 Y 0.667 0.333 0.147
11 Y 0.753 0.877 0.744
12 Y 0.877 0.123 0.244
13 Y 0.877 0.753 0.244
14 Y 0.936 0.468 0.500
15 Mg 0.214 0.429 0.312
16 Mg 0.214 0.786 0.312
17 Mg 0.429 0.214 0.812
18 Mg 0.571 0.786 0.312
19 Mg 0.786 0.214 0.812
20 Mg 0.786 0.571 0.812

## Properties
Density   3.72 g cm⁻³
Symmetry   No. 186
ΔE_f   0.10 eV per atom
Magnetic moment   5.72 Bohr magnetons per cell

***

The following is a PBE calculation of a relaxed Y3Mg2 crystal, from the Alexandria database.

a = 5.268 Å, b = 5.268 Å, c = 6.480 Å
α = 90.00°, β = 90.00°, γ = 120.00°
Atoms (fractional coordinates):
1 Y 0.000 0.000 0.000
2 Y 0.333 0.667 0.350
3 Y 0.667 0.333 0.650
4 Mg 0.333 0.667 0.857
5 Mg 0.667 0.333 0.143

## Properties
Density   3.36 g cm⁻³
Symmetry   No. 164
ΔE_f   0.17 eV per atom
Magnetic moment   0.01 Bohr magnetons per cell